(1)
First-principles (PBE) data for crystalline HoErNiRh at its relaxed geometry, as listed in Alexandria via LeMat-Bulk.

Crystal system   orthorhombic
Energy relative to the lowest polymorph listed for this composition   0.00 eV/f.u.
Mass density   10.089 g/cm3
Final energy   -24.99 eV/cell
ΔE_f   -0.679 eV/atom
Symmetry   No. 38

```
HoErNiRh
1.0
-1.410 3.073 -1.698
-3.775 -1.633 0.179
-0.040 0.696 5.506
Rh Ho Er Ni
1 1 1 1
Cartesian
-0.627 1.879 3.920
-0.211 0.632 1.318
-3.126 2.321 2.581
-2.710 1.073 -0.024
```

(2)
First-principles (PBE) data for crystalline HoErNiRu at its relaxed geometry, as listed in Alexandria via LeMat-Bulk.

Crystal system   tetragonal
Energy relative to the lowest polymorph listed for this composition   0.00 eV/f.u.
Mass density   10.676 g/cm3
Final energy   -26.01 eV/cell
ΔE_f   -0.453 eV/atom
Symmetry   No. 99

```
HoErNiRu
1.0
3.380 0.000 0.000
0.000 3.380 0.000
0.000 0.000 6.697
Ru Ni Ho Er
1 1 1 1
Cartesian
1.690 1.690 0.727
1.690 1.690 4.053
0.000 0.000 5.750
0.000 0.000 2.382
```

(3)
First-principles (PBE) data for crystalline HoErNiRu at its relaxed geometry, as listed in Alexandria via LeMat-Bulk.

Crystal system   cubic
Energy relative to the lowest polymorph listed for this composition   0.08 eV/f.u.
Mass density   10.696 g/cm3
Final energy   -25.93 eV/cell
ΔE_f   -0.434 eV/atom
Symmetry   No. 216

```
HoErNiRu
1.0
4.762 0.000 0.000
2.381 4.124 0.000
2.381 1.375 3.888
Er Ho Ru Ni
1 1 1 1
Cartesian
0.000 0.000 0.000
4.762 2.750 1.944
7.144 4.124 2.916
2.381 1.375 0.972
```

(4)
First-principles (PBE) data for crystalline HoErScNi at its relaxed geometry, as listed in Alexandria via LeMat-Bulk.

Crystal system   cubic
Mass density   7.924 g/cm3
Final energy   -20.91 eV/cell
ΔE_f   0.085 eV/atom
Symmetry   No. 216

```
HoErScNi
1.0
-2.668 4.259 0.547
-3.052 1.565 -3.714
-5.016 -0.218 0.590
Ho Ni Sc Er
1 1 1 1
Cartesian
-2.684 1.402 -0.644
0.000 0.000 0.000
-5.368 2.803 -1.289
-8.052 4.205 -1.933
```

(5)
First-principles (PBE) data for crystalline HoErNiSn at its relaxed geometry, as listed in Alexandria via LeMat-Bulk.

Crystal system   cubic
Mass density   9.247 g/cm3
Final energy   -20.72 eV/cell
ΔE_f   -0.449 eV/atom
Symmetry   No. 216

```
HoErNiSn
1.0
-3.122 3.755 1.318
-4.447 0.534 -2.350
-4.299 -1.031 2.458
Er Sn Ni Ho
1 1 1 1
Cartesian
-5.934 1.629 0.713
-2.967 0.815 0.357
-8.901 2.444 1.070
0.000 0.000 0.000
```

(6)
First-principles (PBE) data for crystalline HoErZnNi at its relaxed geometry, as listed in Alexandria via LeMat-Bulk.

Crystal system   cubic
Energy relative to the lowest polymorph listed for this composition   0.11 eV/f.u.
Mass density   9.266 g/cm3
Final energy   -17.67 eV/cell
ΔE_f   -0.368 eV/atom
Symmetry   No. 216

```
HoErZnNi
1.0
4.872 0.000 0.000
2.436 4.219 0.000
2.436 1.406 3.978
Ni Zn Er Ho
1 1 1 1
Cartesian
7.308 4.219 2.984
2.436 1.406 0.995
4.872 2.813 1.989
0.000 0.000 0.000
```

(7)
First-principles (PBE) data for crystalline HoErZnNi at its relaxed geometry, as listed in Alexandria via LeMat-Bulk.

Crystal system   tetragonal
Energy relative to the lowest polymorph listed for this composition   0.00 eV/f.u.
Mass density   9.254 g/cm3
Final energy   -17.78 eV/cell
ΔE_f   -0.395 eV/atom
Symmetry   No. 99

```
HoErZnNi
1.0
3.438 0.000 0.000
0.000 3.438 0.000
0.000 0.000 6.929
Er Zn Ho Ni
1 1 1 1
Cartesian
0.000 0.000 2.586
1.719 1.719 0.754
0.000 0.000 5.827
1.719 1.719 4.191
```

(8)
First-principles (PBE) data for crystalline HoEr2NpO8 at its relaxed geometry, as listed in Alexandria via LeMat-Bulk.

Crystal system   monoclinic
Mass density   8.091 g/cm3
Final energy   -104.88 eV/cell
ΔE_f (raw)   -3.2139 eV/atom
Symmetry   No. 10

```
HoEr2NpO8
1.0
-2.654 -2.905 3.167
4.014 -0.186 3.073
-2.267 5.672 3.303
O Er Ho Np
8 2 1 1
Cartesian
2.275 0.588 3.829
-0.718 1.882 3.576
-1.933 -1.132 3.894
-0.189 0.700 5.967
-3.182 1.994 5.715
1.026 3.714 5.649
0.381 -0.878 1.769
-1.287 3.460 7.774
0.089 -0.065 3.982
-0.995 2.647 5.561
-1.133 2.836 1.652
0.000 0.000 0.000
```

(9)
First-principles (PBE) data for crystalline Ho2ErNpO8 at its relaxed geometry, as listed in Alexandria via LeMat-Bulk.

Crystal system   orthorhombic
Mass density   8.039 g/cm3
Final energy   -104.84 eV/cell
ΔE_f (raw)   -3.2097 eV/atom
Symmetry   No. 65

```
Ho2ErNpO8
1.0
-2.232 -4.517 0.466
3.009 -1.761 -3.671
4.724 -1.844 4.756
O Ho Np Er
8 2 1 1
Cartesian
5.282 -6.343 2.457
3.113 -2.680 -1.842
2.388 -5.442 3.392
-0.208 -4.429 0.779
5.709 -3.693 0.772
2.599 -2.850 1.395
0.218 -1.780 -0.907
2.902 -5.272 0.156
3.883 -4.503 1.915
1.618 -3.619 -0.365
0.000 0.000 0.000
2.362 -0.922 2.378
```

(10)
First-principles (PBE) data for crystalline HoErNpO6 at its relaxed geometry, as listed in Alexandria via LeMat-Bulk.

Crystal system   trigonal
Mass density   8.384 g/cm3
Final energy   -161.66 eV/cell
ΔE_f (raw)   -3.2223 eV/atom
Symmetry   No. 163

```
HoErNpO6
1.0
5.692 0.000 0.000
-2.846 4.929 0.000
0.000 0.000 9.392
O Np Ho Er
12 2 2 2
Cartesian
3.737 0.113 3.443
3.726 3.180 3.443
-1.771 3.293 8.139
1.966 3.180 1.253
-0.891 4.817 5.949
4.617 1.637 1.253
0.880 1.749 8.139
0.891 4.817 8.139
-0.880 1.749 5.949
1.955 0.113 1.253
1.075 1.637 3.443
1.771 3.293 5.949
2.846 1.643 2.348
0.000 3.286 7.044
0.000 0.000 4.696
0.000 0.000 0.000
2.846 1.643 7.044
0.000 3.286 2.348
```

(11)
First-principles (PBE) data for crystalline HoEr2NpP4 at its relaxed geometry, as listed in Alexandria via LeMat-Bulk.

Crystal system   monoclinic
Mass density   8.109 g/cm3
Final energy   -59.64 eV/cell
ΔE_f   -1.420 eV/atom
Symmetry   No. 10

```
HoEr2NpP4
1.0
-3.800 1.098 0.217
-1.040 -2.342 -6.371
-1.200 -5.043 4.499
P Ho Er Np
4 1 2 1
Cartesian
-1.081 -3.017 -3.679
-3.585 -5.005 -1.304
-2.455 -1.282 -0.351
-1.159 -4.367 1.807
-2.420 -0.622 -3.077
-1.120 -3.692 -0.936
-2.500 -1.972 2.358
0.000 0.000 0.000
```

(12)
First-principles (PBE) data for crystalline Ho2ErNpP4 at its relaxed geometry, as listed in Alexandria via LeMat-Bulk.

Crystal system   monoclinic
Mass density   8.059 g/cm3
Final energy   -59.66 eV/cell
ΔE_f   -1.421 eV/atom
Symmetry   No. 10

```
Ho2ErNpP4
1.0
3.966 0.000 0.000
0.000 6.871 0.127
0.000 -2.395 6.444
Ho P Er Np
2 4 1 1
Cartesian
0.000 2.238 3.285
1.983 -1.197 3.222
0.000 4.575 1.684
0.000 -0.099 4.887
1.983 3.367 4.951
1.983 1.109 1.619
1.983 3.435 0.063
0.000 0.000 0.000
```